# Cs2Tl2PbI6

A relaxed Cs2Tl2PbI6 crystal (PBE-GGA, the Alexandria database).

- E_form (uncorrected) (eV per atom) = -0.968
- crystal system = monoclinic
- total energy (eV/atom) = -2.736

POSCAR file:
```
Cs2Tl2PbI6
1.0
-5.625 -6.795 -1.677
1.853 1.443 8.667
-4.907 6.618 -1.723
I Tl Pb Cs
6 2 1 2
Direct
0.189 0.189 0.245
0.626 0.925 0.251
0.925 0.626 0.251
0.075 0.374 0.749
0.374 0.075 0.749
0.811 0.811 0.755
0.823 0.177 0.000
0.177 0.823 0.000
0.000 0.000 0.500
0.342 0.658 0.500
0.658 0.342 0.500
```